(1)
CaGaTeN2: optimized geometry, PBE.

Output
The uncorrected formation energy is 0.59 eV per atom. The density of states at the Fermi level is 0.3348 states/eV/atom. The space group is P4/mmm.

a b c (Å): 4.1923 4.1923 5.6618
angles (deg): 90.00 90.00 90.00
Last column: nearest neighbours and their distance in Å.
Fractional positions:
Te (0.0000, 0.0000, 0.5000)  2 Ga 2.83, 4 Ca 2.96
Ca (0.5000, 0.5000, 0.5000)  4 Te 2.96
N (0.0000, 0.5000, 0.0000)  2 Ga 2.10
N (0.5000, 0.0000, 0.0000)  2 Ga 2.10
Ga (0.0000, 0.0000, 0.0000)  4 N 2.10

=====

(2)
SbRuCl4: optimized geometry, PBE.

Output
The uncorrected formation energy is 1.02 eV per atom. The density of states at the Fermi level is 0.8360 states/eV/atom. The space group is F-43m.

a b c (Å): 5.7599 5.7599 5.7599
angles (deg): 60.00 60.00 60.00
Last column: nearest neighbours and their distance in Å.
Fractional positions:
Cl (0.3761, 0.3761, 0.3761)  6 Cl 2.85-2.91
Cl (0.8717, 0.3761, 0.3761)  6 Cl 2.85-2.91
Cl (0.3761, 0.3761, 0.8717)  6 Cl 2.85-2.91
Cl (0.3761, 0.8717, 0.3761)  6 Cl 2.85-2.91
Sb (0.0000, 0.0000, 0.0000)  12 Cl 3.38, 4 Ru 3.53
Ru (0.7500, 0.7500, 0.7500)  12 Cl 3.37, 4 Sb 3.53

=====

(3)
Sr2Tl2Ir: optimized geometry, PBE.

Output
The energy of formation comes out at 0.22 eV per atom. The density of states at the Fermi level is 0.8135 states/eV/atom. The space group is P4/mbm.

a b c (Å): 7.8131 7.8131 5.4258
angles (deg): 90.00 90.00 90.00
Last column: nearest neighbours and their distance in Å.
Fractional positions:
Sr (0.8318, 0.6682, 0.0000)  2 Ir 2.91
Sr (0.1682, 0.3318, 0.0000)  2 Ir 2.91
Sr (0.3318, 0.8318, 0.0000)  2 Ir 2.91
Sr (0.6682, 0.1682, 0.0000)  2 Ir 2.91
Ir (0.0000, 0.0000, 0.0000)  4 Sr 2.91
Ir (0.5000, 0.5000, 0.0000)  4 Sr 2.91
Tl (0.6526, 0.8474, 0.5000)  6 Sr 3.36-3.70, 1 Tl 3.37
Tl (0.1526, 0.6526, 0.5000)  6 Sr 3.36-3.70, 1 Tl 3.37
Tl (0.8474, 0.3474, 0.5000)  6 Sr 3.36-3.70, 1 Tl 3.37
Tl (0.3474, 0.1526, 0.5000)  6 Sr 3.36-3.70, 1 Tl 3.37

=====

(4)
Ca2Cd5Hg12: optimized geometry, PBE.

Output
The energy of formation comes out at -0.13 eV per atom. The density of states at the Fermi level is 0.3189 states/eV/atom. The space group is C2/m.

a b c (Å): 5.6800 10.0932 10.0932
angles (deg): 64.23 72.44 72.44
Last column: nearest neighbours and their distance in Å.
Fractional positions:
Hg (0.2070, 0.5341, 0.0702)  2 Cd 3.07-3.11, 5 Hg 3.15-3.24, 1 Ca 3.20
Hg (0.3969, 0.3582, 0.8437)  3 Cd 3.05-3.27, 5 Hg 3.13-3.24, 2 Ca 3.26-3.31
Hg (0.3969, 0.8437, 0.3582)  3 Cd 3.05-3.27, 5 Hg 3.13-3.24, 2 Ca 3.26-3.31
Hg (0.7930, 0.4659, 0.9298)  2 Cd 3.07-3.11, 5 Hg 3.15-3.24, 1 Ca 3.20
Hg (0.0135, 0.8705, 0.8705)  4 Cd 2.93-3.16, 2 Hg 3.15, 2 Ca 3.22
Hg (0.2070, 0.0702, 0.5341)  2 Cd 3.07-3.11, 5 Hg 3.15-3.24, 1 Ca 3.20
Hg (0.7235, 0.5617, 0.5617)  3 Hg 3.10-3.13, 1 Cd 3.21, 2 Ca 3.37
Hg (0.9865, 0.1295, 0.1295)  4 Cd 2.93-3.16, 2 Hg 3.15, 2 Ca 3.22
Hg (0.2765, 0.4383, 0.4383)  3 Hg 3.10-3.13, 1 Cd 3.21, 2 Ca 3.37
Hg (0.7930, 0.9298, 0.4659)  2 Cd 3.07-3.11, 5 Hg 3.15-3.24, 1 Ca 3.20
Hg (0.6031, 0.6418, 0.1563)  3 Cd 3.05-3.27, 5 Hg 3.13-3.24, 2 Ca 3.26-3.31
Hg (0.6031, 0.1563, 0.6418)  3 Cd 3.05-3.27, 5 Hg 3.13-3.24, 2 Ca 3.26-3.31
Cd (0.5653, 0.8019, 0.8019)  6 Hg 2.93-3.27, 2 Cd 3.19-3.27
Cd (0.4347, 0.1981, 0.1981)  6 Hg 2.93-3.27, 2 Cd 3.19-3.27
Cd (0.8627, 0.3230, 0.3230)  6 Hg 3.05-3.21, 1 Cd 3.19
Cd (0.5000, 0.0000, 0.0000)  6 Hg 2.97-3.20, 2 Cd 3.27
Cd (0.1373, 0.6770, 0.6770)  6 Hg 3.05-3.21, 1 Cd 3.19
Ca (0.0000, 0.7792, 0.2208)  10 Hg 3.20-3.37
Ca (0.0000, 0.2208, 0.7792)  10 Hg 3.20-3.37

=====

(5)
Nd2GaF: optimized geometry, PBE.

Output
The uncorrected formation energy is -1.28 eV per atom. The density of states at the Fermi level is 0.4422 states/eV/atom. The space group is P4/mmm.

a b c (Å): 3.3387 3.3387 7.7260
angles (deg): 90.00 90.00 90.00
Last column: nearest neighbours and their distance in Å.
Fractional positions:
Nd (0.0000, 0.0000, 0.7560)  4 F 3.02, 4 Ga 3.08, 4 Nd 3.34
Nd (0.0000, 0.0000, 0.2440)  4 F 3.02, 4 Ga 3.08, 4 Nd 3.34
F (0.5000, 0.5000, 0.0000)  8 Nd 3.02, 4 F 3.34
Ga (0.5000, 0.5000, 0.5000)  8 Nd 3.08, 4 Ga 3.34

=====

(6)
AsPb5: optimized geometry, PBE.

Output
The energy of formation comes out at 0.06 eV per atom. The density of states at the Fermi level is 0.3485 states/eV/atom. The space group is Cm.

a b c (Å): 6.5141 6.5141 8.5851
angles (deg): 71.00 71.00 31.54
Last column: nearest neighbours and their distance in Å.
Fractional positions:
Pb (0.3600, 0.3600, 0.2700)  2 As 3.14
Pb (0.6836, 0.6836, 0.6555)  2 As 3.37, 10 Pb 3.46-3.75
Pb (0.6798, 0.6798, 0.0698)  2 As 3.12, 4 Pb 3.45-3.48
Pb (0.0451, 0.0451, 0.4270)  11 Pb 3.43-3.72
Pb (0.3914, 0.3914, 0.7720)  2 As 3.14, 5 Pb 3.43-3.48
As (0.0068, 0.0068, 0.9724)  8 Pb 3.12-3.37

=====

(7)
AcPrTeS2: optimized geometry, PBE.

Output
The uncorrected formation energy is -1.73 eV per atom. The space group is I4mm.

a b c (Å): 4.6823 4.6823 8.0100
angles (deg): 106.99 106.99 90.00
Last column: nearest neighbours and their distance in Å.
Fractional positions:
Te (0.5012, 0.5012, 0.0024)  4 Ac 3.87, 4 Pr 3.95, 4 S 4.31
Ac (0.1381, 0.1381, 0.2761)  4 S 2.88
Pr (0.8538, 0.8538, 0.7075)  4 S 2.76
S (0.2535, 0.7535, 0.5070)  2 Pr 2.76, 2 Ac 2.88
S (0.7535, 0.2535, 0.5070)  2 Pr 2.76, 2 Ac 2.88

=====

no.,DFT total energy (eV per atom)
1,-4.370
2,-2.445
3,-3.168
4,-0.774
5,-4.887
6,-3.804
7,-5.786